No. 1
{
  "formula": "Sm3Zn2Ge",
  "functional": "PBE",
  "state": "optimized geometry",
  "lattice_angstrom": [[5.133, 0.000, 0.000], [-2.566, 4.445, 0.000], [0.000, 0.000, 6.326]],
  "species": ["Sm", "Sm", "Sm", "Zn", "Zn", "Ge"],
  "frac_coords": [[0.000, 0.000, 0.000], [0.333, 0.667, 0.657], [0.667, 0.333, 0.343], [0.333, 0.667, 0.134], [0.667, 0.333, 0.866], [0.000, 0.000, 0.500]],
  "formation_energy_ev_per_atom": -0.47,
  "m_tot_mub_per_fu": 0.00
}

=====

No. 2
{
  "formula": "SmZn6Ge2",
  "functional": "PBE",
  "state": "optimized geometry",
  "lattice_angstrom": [[4.059, 0.000, 0.000], [0.000, 4.059, 0.000], [0.000, 0.000, 9.507]],
  "species": ["Sm", "Zn", "Zn", "Zn", "Zn", "Zn", "Zn", "Ge", "Ge"],
  "frac_coords": [[0.000, 0.000, 0.000], [0.000, 0.000, 0.500], [0.000, 0.500, 0.307], [0.000, 0.500, 0.693], [0.500, 0.000, 0.307], [0.500, 0.000, 0.693], [0.500, 0.500, 0.500], [0.500, 0.500, 0.135], [0.500, 0.500, 0.865]],
  "formation_energy_ev_per_atom": -0.19,
  "m_tot_mub_per_fu": 0.00
}

=====

No. 3
{
  "formula": "Sm3ZnGe2",
  "functional": "PBE",
  "state": "optimized geometry",
  "lattice_angstrom": [[6.885, -3.001, 0.000], [6.885, 3.001, 0.000], [-2.564, 0.000, 7.983]],
  "species": ["Sm", "Sm", "Sm", "Sm", "Sm", "Sm", "Zn", "Zn", "Ge", "Ge", "Ge", "Ge"],
  "frac_coords": [[0.040, 0.960, 0.750], [0.313, 0.318, 0.408], [0.318, 0.313, 0.908], [0.682, 0.687, 0.092], [0.687, 0.682, 0.592], [0.960, 0.040, 0.250], [0.451, 0.549, 0.250], [0.549, 0.451, 0.750], [0.154, 0.162, 0.079], [0.162, 0.154, 0.579], [0.838, 0.846, 0.421], [0.846, 0.838, 0.921]],
  "de_polymorph_ev_per_atom": 0.181,
  "formation_energy_ev_per_atom": -0.51,
  "m_tot_mub_per_fu": 0.00
}

=====

No. 4
{
  "formula": "Sm3Zn2Ge4",
  "functional": "PBE",
  "state": "optimized geometry",
  "lattice_angstrom": [[5.654, -2.099, 0.000], [5.654, 2.099, 0.000], [-3.127, 0.000, 8.120]],
  "species": ["Sm", "Sm", "Sm", "Zn", "Zn", "Ge", "Ge", "Ge", "Ge"],
  "frac_coords": [[0.000, 0.000, 0.000], [0.378, 0.378, 0.309], [0.622, 0.622, 0.691], [0.316, 0.316, 0.659], [0.684, 0.684, 0.341], [0.089, 0.089, 0.398], [0.286, 0.286, 0.938], [0.714, 0.714, 0.062], [0.911, 0.911, 0.602]],
  "formation_energy_ev_per_atom": -0.64,
  "m_tot_mub_per_fu": 0.00
}

=====

No. 5
{
  "formula": "SmZn11Ge",
  "functional": "PBE",
  "state": "optimized geometry",
  "lattice_angstrom": [[2.655, -6.384, 0.000], [2.655, 6.384, 0.000], [-2.551, 0.000, 6.280]],
  "species": ["Sm", "Zn", "Zn", "Zn", "Zn", "Zn", "Zn", "Zn", "Zn", "Zn", "Zn", "Zn", "Ge"],
  "frac_coords": [[0.000, 0.000, 0.000], [0.000, 0.500, 0.000], [0.004, 0.365, 0.353], [0.296, 0.514, 0.788], [0.365, 0.004, 0.353], [0.486, 0.704, 0.212], [0.500, 0.000, 0.000], [0.500, 0.500, 0.500], [0.514, 0.296, 0.788], [0.635, 0.996, 0.647], [0.704, 0.486, 0.212], [0.996, 0.635, 0.647], [0.000, 0.000, 0.500]],
  "formation_energy_ev_per_atom": -0.13,
  "m_tot_mub_per_fu": 0.00
}

=====

No. 6
{
  "formula": "Sm3ZnGe3",
  "functional": "PBE",
  "state": "optimized geometry",
  "lattice_angstrom": [[5.532, -2.171, 0.000], [5.532, 2.171, 0.000], [-4.643, 0.000, 13.359]],
  "species": ["Sm", "Sm", "Sm", "Sm", "Sm", "Sm", "Zn", "Zn", "Ge", "Ge", "Ge", "Ge", "Ge", "Ge"],
  "frac_coords": [[0.023, 0.023, 0.379], [0.103, 0.103, 0.921], [0.240, 0.240, 0.226], [0.760, 0.760, 0.774], [0.897, 0.897, 0.079], [0.977, 0.977, 0.621], [0.270, 0.270, 0.608], [0.730, 0.730, 0.392], [0.358, 0.358, 0.452], [0.383, 0.383, 0.924], [0.477, 0.477, 0.772], [0.523, 0.523, 0.228], [0.617, 0.617, 0.076], [0.642, 0.642, 0.548]],
  "formation_energy_ev_per_atom": -0.75,
  "m_tot_mub_per_fu": 0.01
}